(1)
VASP calculation (PBE-GGA) on crystalline Rb3Cu2SnCl9 at its relaxed geometry.

The structure belongs to space group P-3m1 (No. 164); the cell edges are 7.1688, 7.1688 and 8.8345 Å and the angles 90.00°, 90.00° and 120.00°. The distinct sites, in fractional coordinates, are Rb at (0.0000, 0.0000, 0.0000), Rb at (0.3333, 0.6667, 0.6854), Cu at (0.3333, 0.6667, 0.1433), Sn at (0.0000, 0.0000, 0.5000), Cl at (0.0000, 0.5000, 0.0000) and Cl at (0.1709, 0.3417, 0.3299).

The uncorrected energy comes out at -50.0 eV per formula unit. The calculation puts the formation energy from raw total energies at -1.220 eV/atom. The calculation puts the density at 3.5 g cm⁻³.

---

(2)
VASP calculation (PBE-GGA) on crystalline Rb2Cu2SnCl7 at its relaxed geometry.

The structure belongs to space group C2/m (No. 12); the cell edges are 6.968, 6.969 and 13.137 Å and the angles 90.00°, 105.28° and 90.00°. The distinct sites, in fractional coordinates, are Rb at (0.178, 0.000, 0.359), Cu at (0.092, 0.500, 0.189), Sn at (0.000, 0.000, 0.000), Cl at (0.000, 0.500, 0.000), Cl at (0.169, 0.250, 0.835) and Cl at (0.188, 0.500, 0.378).

The uncorrected energy comes out at -39.6 eV per formula unit. The calculation puts the formation energy from raw total energies at -1.048 eV/atom. The calculation puts the density at 3.6 g cm⁻³.

---

(3)
VASP calculation (PBE-GGA) on crystalline Rb2Cu2SnCl6 at its relaxed geometry.

The structure belongs to space group C2/m (No. 12); the cell edges are 12.898, 7.551 and 7.848 Å and the angles 90.00°, 120.38° and 90.00°. The distinct sites, in fractional coordinates, are Rb at (0.227, 0.000, 0.205), Cu at (0.046, 0.500, 0.200), Sn at (0.000, 0.000, 0.500), Cl at (0.050, 0.250, 0.806) and Cl at (0.248, 0.500, 0.350).

The uncorrected energy comes out at -37.8 eV per formula unit. The calculation puts the formation energy from raw total energies at -1.148 eV/atom. The calculation puts the density at 3.2 g cm⁻³.

---

Repeat the third record exactly.
VASP calculation (PBE-GGA) on crystalline Rb2Cu2SnCl6 at its relaxed geometry.

The structure belongs to space group C2/m (No. 12); the cell edges are 12.898, 7.551 and 7.848 Å and the angles 90.00°, 120.38° and 90.00°. The distinct sites, in fractional coordinates, are Rb at (0.227, 0.000, 0.205), Cu at (0.046, 0.500, 0.200), Sn at (0.000, 0.000, 0.500), Cl at (0.050, 0.250, 0.806) and Cl at (0.248, 0.500, 0.350).

The uncorrected energy comes out at -37.8 eV per formula unit. The calculation puts the formation energy from raw total energies at -1.148 eV/atom. The calculation puts the density at 3.2 g cm⁻³.